DFT (GGA-PBE) results for a geometry-optimized Zr3Cu2 structure.

Summary:
- magnetization (μB/f.u.) = 0.00
- Fermi-level density of states (states/eV/cell) = 9.583
- total DFT energy (no corrections) (Ry/atom) = -0.497
- formation enthalpy at 0 K (meV/atom) = 1

Unit cell a=8.514 b=7.443 c=5.657 alpha=79.80 beta=59.36 gamma=40.84
Fractional coordinates of all 10 atoms:
Zr 0.510 0.784 0.882
Zr 0.911 0.089 0.089
Zr 0.368 0.426 0.740
Zr 0.824 0.882 0.784
Zr 0.161 0.339 0.339
Zr 0.466 0.740 0.426
Cu 0.898 0.198 0.548
Cu 0.702 0.894 0.352
Cu 0.356 0.548 0.198
Cu 0.052 0.352 0.894

---

DFT (GGA-PBE) results for a geometry-optimized ZrCu5 structure.

Summary:
- magnetization (μB/f.u.) = 0.00
- Fermi-level density of states (states/eV/cell) = 3.117
- total DFT energy (no corrections) (Ry/atom) = -0.355
- formation enthalpy at 0 K (meV/atom) = 13

Unit cell a=4.805 b=4.805 c=6.371 alpha=71.20 beta=71.20 gamma=37.03
Fractional coordinates of all 6 atoms:
Zr 0.500 0.500 0.500
Cu 0.836 0.836 0.860
Cu 0.164 0.164 0.140
Cu 0.179 0.179 0.690
Cu 0.500 0.500 0.000
Cu 0.821 0.821 0.310

---

DFT (GGA-PBE) results for a geometry-optimized Zr2Cu structure.

Summary:
- magnetization (μB/f.u.) = 0.00
- Fermi-level density of states (states/eV/cell) = 12.596
- total DFT energy (no corrections) (Ry/atom) = -0.521
- formation enthalpy at 0 K (meV/atom) = -19

Unit cell a=7.233 b=7.233 c=3.896 alpha=90.00 beta=90.00 gamma=120.00
Fractional coordinates of all 9 atoms:
Zr 0.267 0.000 0.000
Zr 0.402 0.402 0.500
Zr 0.000 0.598 0.500
Zr 0.000 0.267 0.000
Zr 0.598 0.000 0.500
Zr 0.733 0.733 0.000
Cu 0.667 0.333 0.000
Cu 0.000 0.000 0.500
Cu 0.333 0.667 0.000

---

DFT (GGA-PBE) results for a geometry-optimized Zr3Cu5 structure.

Summary:
- magnetization (μB/f.u.) = 0.00
- Fermi-level density of states (states/eV/cell) = 14.378
- total DFT energy (no corrections) (Ry/atom) = -0.422
- formation enthalpy at 0 K (meV/atom) = 21

Unit cell a=5.048 b=7.664 c=7.669 alpha=97.84 beta=109.14 gamma=70.95
Fractional coordinates of all 16 atoms:
Zr 0.752 0.998 0.002
Zr 0.822 0.852 0.505
Zr 0.324 0.495 0.148
Zr 0.674 0.507 0.849
Zr 0.253 0.998 0.003
Zr 0.177 0.151 0.493
Cu 0.248 0.504 0.500
Cu 0.577 0.194 0.333
Cu 0.423 0.811 0.670
Cu 0.255 0.810 0.329
Cu 0.750 0.188 0.677
Cu 0.758 0.672 0.190
Cu 0.246 0.324 0.812
Cu 0.075 0.667 0.807
Cu 0.750 0.499 0.498
Cu 0.925 0.331 0.189

---

DFT (GGA-PBE) results for a geometry-optimized Zr2Cu structure.

Summary:
- magnetization (μB/f.u.) = 0.00
- Fermi-level density of states (states/eV/cell) = 5.282
- total DFT energy (no corrections) (Ry/atom) = -0.523
- formation enthalpy at 0 K (meV/atom) = -46

Unit cell a=5.592 b=5.592 c=7.486 alpha=66.70 beta=66.70 gamma=33.34
Fractional coordinates of all 6 atoms:
Cu 0.613 0.613 0.210
Cu 0.998 0.998 0.068
Zr 0.317 0.317 0.924
Zr 0.642 0.642 0.741
Zr 0.969 0.969 0.537
Zr 0.294 0.294 0.354

---

DFT (GGA-PBE) results for a geometry-optimized Zr4Cu3 structure.

Summary:
- offset from the most stable computed form (eV/atom) = 0.058
- magnetization (μB/f.u.) = 0.00
- Fermi-level density of states (states/eV/cell) = 10.364
- total DFT energy (no corrections) (Ry/atom) = -0.493
- formation enthalpy at 0 K (meV/atom) = -69

Unit cell a=5.196 b=5.196 c=5.404 alpha=90.00 beta=90.00 gamma=60.00
Fractional coordinates of all 7 atoms:
Cu 0.500 0.500 0.000
Cu 0.000 0.500 0.000
Cu 0.500 0.000 0.000
Zr 0.000 0.000 0.253
Zr 0.333 0.333 0.500
Zr 0.667 0.667 0.500
Zr 0.000 0.000 0.747

---

DFT (GGA-PBE) results for a geometry-optimized ZrCu3 structure.

Summary:
- magnetization (μB/f.u.) = 0.00
- Fermi-level density of states (states/eV/cell) = 16.358
- total DFT energy (no corrections) (Ry/atom) = -0.381
- formation enthalpy at 0 K (meV/atom) = 29

Unit cell a=5.741 b=5.741 c=8.443 alpha=90.00 beta=90.00 gamma=60.00
Fractional coordinates of all 16 atoms:
Cu 0.817 0.817 0.750
Cu 0.500 0.000 0.500
Cu 0.634 0.183 0.250
Cu 0.000 0.500 0.000
Cu 0.000 0.500 0.500
Cu 0.366 0.817 0.750
Cu 0.500 0.500 0.500
Cu 0.183 0.634 0.250
Cu 0.500 0.500 0.000
Cu 0.817 0.366 0.750
Cu 0.500 0.000 0.000
Cu 0.183 0.183 0.250
Zr 0.333 0.333 0.750
Zr 0.000 0.000 0.000
Zr 0.000 0.000 0.500
Zr 0.667 0.667 0.250

---

DFT (GGA-PBE) results for a geometry-optimized Zr2Cu3 structure.

Summary:
- offset from the most stable computed form (eV/atom) = 0.000
- magnetization (μB/f.u.) = 0.01
- Fermi-level density of states (states/eV/cell) = 5.471
- total DFT energy (no corrections) (Ry/atom) = -0.441
- formation enthalpy at 0 K (meV/atom) = -119

Unit cell a=3.249 b=3.249 c=8.105 alpha=101.56 beta=101.56 gamma=90.00
Fractional coordinates of all 5 atoms:
Cu 0.788 0.788 0.577
Cu 0.212 0.212 0.423
Cu 0.000 0.000 0.000
Zr 0.393 0.393 0.786
Zr 0.607 0.607 0.214

---

DFT (GGA-PBE) results for a geometry-optimized Zr4Cu3 structure.

Summary:
- offset from the most stable computed form (eV/atom) = 0.000
- magnetization (μB/f.u.) = 0.00
- Fermi-level density of states (states/eV/cell) = 5.024
- total DFT energy (no corrections) (Ry/atom) = -0.497
- formation enthalpy at 0 K (meV/atom) = -127

Unit cell a=3.253 b=12.440 c=3.253 alpha=82.49 beta=90.00 gamma=97.51
Fractional coordinates of all 7 atoms:
Zr 0.842 0.684 0.158
Zr 0.158 0.316 0.842
Zr 0.429 0.858 0.571
Zr 0.571 0.142 0.429
Cu 0.275 0.549 0.725
Cu 0.725 0.451 0.275
Cu 0.000 0.000 0.000

---

DFT (GGA-PBE) results for a geometry-optimized Zr2Cu structure.

Summary:
- magnetization (μB/f.u.) = 0.00
- Fermi-level density of states (states/eV/cell) = 7.311
- total DFT energy (no corrections) (Ry/atom) = -0.519
- formation enthalpy at 0 K (meV/atom) = 9

Unit cell a=5.535 b=5.535 c=5.166 alpha=105.72 beta=105.72 gamma=119.15
Fractional coordinates of all 6 atoms:
Zr 0.444 0.194 0.388
Zr 0.556 0.806 0.612
Zr 0.806 0.556 0.112
Zr 0.194 0.444 0.888
Cu 0.876 0.124 0.250
Cu 0.124 0.876 0.750

---

DFT (GGA-PBE) results for a geometry-optimized Zr5Cu3 structure.

Summary:
- offset from the most stable computed form (eV/atom) = 0.076
- magnetization (μB/f.u.) = 0.00
- Fermi-level density of states (states/eV/cell) = 24.449
- total DFT energy (no corrections) (Ry/atom) = -0.509
- formation enthalpy at 0 K (meV/atom) = -48

Unit cell a=8.164 b=8.164 c=5.295 alpha=90.00 beta=90.00 gamma=120.00
Fractional coordinates of all 16 atoms:
Zr 0.240 0.240 0.750
Zr 0.000 0.240 0.250
Zr 0.760 0.000 0.750
Zr 0.333 0.667 0.000
Zr 0.667 0.333 0.500
Zr 0.667 0.333 0.000
Zr 0.240 0.000 0.250
Zr 0.760 0.760 0.250
Zr 0.000 0.760 0.750
Zr 0.333 0.667 0.500
Cu 0.000 0.600 0.250
Cu 0.400 0.400 0.250
Cu 0.600 0.600 0.750
Cu 0.600 0.000 0.250
Cu 0.400 0.000 0.750
Cu 0.000 0.400 0.750

---

DFT (GGA-PBE) results for a geometry-optimized Zr2Cu structure.

Summary:
- magnetization (μB/f.u.) = 0.00
- Fermi-level density of states (states/eV/cell) = 1.577
- total DFT energy (no corrections) (Ry/atom) = -0.529
- formation enthalpy at 0 K (meV/atom) = -136

Unit cell a=6.066 b=6.066 c=6.066 alpha=149.07 beta=149.07 gamma=44.30
Fractional coordinates of all 3 atoms:
Cu 0.500 0.500 0.000
Zr 0.154 0.154 0.000
Zr 0.846 0.846 0.000